No. 1
# Sc2Ni, optimized geometry, DFT PBE
# spin magnetization: 0.001 μB/f.u.
# energy relative to the elements: -0.363 eV per atom
data_Sc2Ni
_chemical_formula_sum 'Sc16 Ni8'
_symmetry_space_group_name_H-M 'P 1'
_symmetry_Int_Tables_number 1
_cell_length_a 8.5456
_cell_length_b 8.5456
_cell_length_c 8.5456
_cell_angle_alpha 120.00
_cell_angle_beta 90.00
_cell_angle_gamma 120.00
loop_
_symmetry_equiv_pos_as_xyz
'x,y,z'
loop_
_atom_site_label
_atom_site_type_symbol
_atom_site_fract_x
_atom_site_fract_y
_atom_site_fract_z
Sc1 Sc 0.4396 0.2500 0.1896
Sc2 Sc 0.4396 0.8791 0.1896
Sc3 Sc 0.0000 0.0000 0.0000
Sc4 Sc 0.4396 0.2500 0.5604
Sc5 Sc 0.8104 0.6209 0.5604
Sc6 Sc 0.5604 0.7500 0.4396
Sc7 Sc 0.1896 0.7500 0.8104
Sc8 Sc 0.5604 0.1209 0.8104
Sc9 Sc 0.5000 0.5000 0.0000
Sc10 Sc 0.0000 0.0000 0.5000
Sc11 Sc 0.8104 0.2500 0.1896
Sc12 Sc 0.5604 0.7500 0.8104
Sc13 Sc 0.1896 0.3791 0.4396
Sc14 Sc 0.1896 0.7500 0.4396
Sc15 Sc 0.8104 0.2500 0.5604
Sc16 Sc 0.0000 0.5000 0.0000
Ni1 Ni 0.2122 0.4245 0.7878
Ni2 Ni 0.2122 0.0755 0.7878
Ni3 Ni 0.7878 0.9245 0.2122
Ni4 Ni 0.2122 0.4245 0.1367
Ni5 Ni 0.1367 0.9245 0.2122
Ni6 Ni 0.8633 0.0755 0.7878
Ni7 Ni 0.7878 0.5755 0.8633
Ni8 Ni 0.7878 0.5755 0.2122

No. 2
# Sc2GaSiPd4, optimized geometry, DFT PBE
# E: -6.123 eV per atom
# spin magnetization: 0.012 μB/f.u.
data_Sc2GaSiPd4
_chemical_formula_sum 'Sc2 Ga1 Si1 Pd4'
_symmetry_space_group_name_H-M 'P 1'
_symmetry_Int_Tables_number 1
_cell_length_a 7.2605
_cell_length_b 5.4183
_cell_length_c 5.4183
_cell_angle_alpha 38.32
_cell_angle_beta 90.00
_cell_angle_gamma 90.00
loop_
_symmetry_equiv_pos_as_xyz
'x,y,z'
loop_
_atom_site_label
_atom_site_type_symbol
_atom_site_fract_x
_atom_site_fract_y
_atom_site_fract_z
Ga1 Ga 0.0000 0.7388 0.7388
Si1 Si 0.5000 0.2637 0.2637
Sc1 Sc 0.0000 0.4590 0.4590
Sc2 Sc 0.5000 0.5440 0.5440
Pd1 Pd 0.3056 0.8633 0.8633
Pd2 Pd 0.7927 0.1339 0.1339
Pd3 Pd 0.6944 0.8633 0.8633
Pd4 Pd 0.2073 0.1339 0.1339

No. 3
# PmDyGa4, optimized geometry, DFT PBE
# E: -4.244 eV per atom
# spin magnetization: 0.004 μB/f.u.
data_PmDyGa4
_chemical_formula_sum 'Pm1 Dy1 Ga4'
_symmetry_space_group_name_H-M 'P 1'
_symmetry_Int_Tables_number 1
_cell_length_a 4.2391
_cell_length_b 4.2391
_cell_length_c 8.3066
_cell_angle_alpha 90.00
_cell_angle_beta 90.00
_cell_angle_gamma 120.00
loop_
_symmetry_equiv_pos_as_xyz
'x,y,z'
loop_
_atom_site_label
_atom_site_type_symbol
_atom_site_fract_x
_atom_site_fract_y
_atom_site_fract_z
Ga1 Ga 0.6667 0.3333 0.7560
Ga2 Ga 0.3333 0.6667 0.7560
Ga3 Ga 0.6667 0.3333 0.2440
Ga4 Ga 0.3333 0.6667 0.2440
Dy1 Dy 0.0000 0.0000 0.0000
Pm1 Pm 0.0000 0.0000 0.5000

No. 4
# SrLa2Ga2Ni4, optimized geometry, DFT PBE
# E: -4.878 eV per atom
# spin magnetization: 0.000 μB/f.u.
data_SrLa2Ga2Ni4
_chemical_formula_sum 'Sr1 La2 Ga2 Ni4'
_symmetry_space_group_name_H-M 'P 1'
_symmetry_Int_Tables_number 1
_cell_length_a 5.6731
_cell_length_b 5.6731
_cell_length_c 8.2950
_cell_angle_alpha 98.98
_cell_angle_beta 98.98
_cell_angle_gamma 43.32
loop_
_symmetry_equiv_pos_as_xyz
'x,y,z'
loop_
_atom_site_label
_atom_site_type_symbol
_atom_site_fract_x
_atom_site_fract_y
_atom_site_fract_z
Ni1 Ni 0.2569 0.2569 0.9115
Ni2 Ni 0.7431 0.7431 0.0885
Ni3 Ni 0.9123 0.9123 0.3663
Ni4 Ni 0.0877 0.0877 0.6337
Ga1 Ga 0.3195 0.3195 0.2143
Ga2 Ga 0.6805 0.6805 0.7857
La1 La 0.6210 0.6210 0.3785
La2 La 0.3790 0.3790 0.6215
Sr1 Sr 0.0000 0.0000 0.0000

No. 5
# AcZn, optimized geometry, DFT PBE
# spin magnetization: 0.002 μB/f.u.
# energy relative to the elements: -0.144 eV per atom
data_AcZn
_chemical_formula_sum 'Ac6 Zn6'
_symmetry_space_group_name_H-M 'P 1'
_symmetry_Int_Tables_number 1
_cell_length_a 7.9431
_cell_length_b 8.8847
_cell_length_c 5.2982
_cell_angle_alpha 90.00
_cell_angle_beta 90.00
_cell_angle_gamma 111.22
loop_
_symmetry_equiv_pos_as_xyz
'x,y,z'
loop_
_atom_site_label
_atom_site_type_symbol
_atom_site_fract_x
_atom_site_fract_y
_atom_site_fract_z
Ac1 Ac 0.6287 0.4596 0.5000
Ac2 Ac 0.6275 0.8801 0.5000
Ac3 Ac 0.1309 0.5082 0.5000
Ac4 Ac 0.2615 0.8422 0.0000
Ac5 Ac 0.7579 0.2140 0.0000
Ac6 Ac 0.2602 0.2627 0.0000
Zn1 Zn 0.5250 0.6385 0.0000
Zn2 Zn 0.8716 0.8969 0.0000
Zn3 Zn 0.0173 0.8253 0.5000
Zn4 Zn 0.3637 0.0837 0.5000
Zn5 Zn 0.0291 0.1262 0.5000
Zn6 Zn 0.8599 0.5960 0.0000

No. 6
# KRb2TcBr6, optimized geometry, DFT PBE
# E: -3.476 eV per atom
# spin magnetization: 2.002 μB/f.u.
data_KRb2TcBr6
_chemical_formula_sum 'K1 Rb2 Tc1 Br6'
_symmetry_space_group_name_H-M 'P 1'
_symmetry_Int_Tables_number 1
_cell_length_a 8.0093
_cell_length_b 8.0093
_cell_length_c 8.0093
_cell_angle_alpha 60.00
_cell_angle_beta 60.00
_cell_angle_gamma 60.00
loop_
_symmetry_equiv_pos_as_xyz
'x,y,z'
loop_
_atom_site_label
_atom_site_type_symbol
_atom_site_fract_x
_atom_site_fract_y
_atom_site_fract_z
Br1 Br 0.2744 0.7256 0.7256
Br2 Br 0.7256 0.2744 0.7256
Br3 Br 0.7256 0.2744 0.2744
Br4 Br 0.2744 0.2744 0.7256
Br5 Br 0.7256 0.7256 0.2744
Br6 Br 0.2744 0.7256 0.2744
K1 K 0.0000 0.0000 0.0000
Tc1 Tc 0.5000 0.5000 0.5000
Rb1 Rb 0.7500 0.7500 0.7500
Rb2 Rb 0.2500 0.2500 0.2500

No. 7
# SmErNO, optimized geometry, DFT PBE
# E: -7.867 eV per atom
# spin magnetization: 0.004 μB/f.u.
data_SmErNO
_chemical_formula_sum 'Sm2 Er2 N2 O2'
_symmetry_space_group_name_H-M 'P 1'
_symmetry_Int_Tables_number 1
_cell_length_a 4.9124
_cell_length_b 4.9124
_cell_length_c 4.8385
_cell_angle_alpha 90.00
_cell_angle_beta 90.00
_cell_angle_gamma 90.00
loop_
_symmetry_equiv_pos_as_xyz
'x,y,z'
loop_
_atom_site_label
_atom_site_type_symbol
_atom_site_fract_x
_atom_site_fract_y
_atom_site_fract_z
N1 N 0.0000 0.5000 0.4996
N2 N 0.5000 0.0000 0.5004
Er1 Er 0.0000 0.5000 0.0005
Er2 Er 0.5000 0.0000 0.9995
Sm1 Sm 0.5000 0.5000 0.5000
Sm2 Sm 0.0000 0.0000 0.5000
O1 O 0.0000 0.0000 0.0000
O2 O 0.5000 0.5000 0.0000

No. 8
# BaTlPtPb, optimized geometry, DFT PBE
# E: -4.006 eV per atom
# spin magnetization: 0.007 μB/f.u.
data_BaTlPtPb
_chemical_formula_sum 'Ba2 Tl2 Pt2 Pb2'
_symmetry_space_group_name_H-M 'P 1'
_symmetry_Int_Tables_number 1
_cell_length_a 4.6177
_cell_length_b 8.3631
_cell_length_c 6.4023
_cell_angle_alpha 90.00
_cell_angle_beta 111.09
_cell_angle_gamma 90.00
loop_
_symmetry_equiv_pos_as_xyz
'x,y,z'
loop_
_atom_site_label
_atom_site_type_symbol
_atom_site_fract_x
_atom_site_fract_y
_atom_site_fract_z
Ba1 Ba 0.5614 0.0000 0.1225
Ba2 Ba 0.4415 0.5000 0.8835
Pt1 Pt 0.2827 0.0000 0.5663
Pt2 Pt 0.7243 0.5000 0.4476
Pb1 Pb 0.8442 0.8035 0.6891
Pb2 Pb 0.8442 0.1965 0.6891
Tl1 Tl 0.1508 0.3025 0.3010
Tl2 Tl 0.1508 0.6975 0.3010

No. 9
# AcAlFe, optimized geometry, DFT PBE
# E: -4.312 eV per atom
# spin magnetization: 2.545 μB/f.u.
data_AcAlFe
_chemical_formula_sum 'Ac1 Al1 Fe1'
_symmetry_space_group_name_H-M 'P 1'
_symmetry_Int_Tables_number 1
_cell_length_a 4.9169
_cell_length_b 4.9169
_cell_length_c 4.9169
_cell_angle_alpha 60.00
_cell_angle_beta 60.00
_cell_angle_gamma 60.00
loop_
_symmetry_equiv_pos_as_xyz
'x,y,z'
loop_
_atom_site_label
_atom_site_type_symbol
_atom_site_fract_x
_atom_site_fract_y
_atom_site_fract_z
Fe1 Fe 0.7500 0.7500 0.7500
Ac1 Ac 0.0000 0.0000 0.0000
Al1 Al 0.2500 0.2500 0.2500

No. 10
# ErAlNi, optimized geometry, DFT PBE
# E: -4.992 eV per atom
# spin magnetization: 0.075 μB/f.u.
data_ErAlNi
_chemical_formula_sum 'Er1 Al1 Ni1'
_symmetry_space_group_name_H-M 'P 1'
_symmetry_Int_Tables_number 1
_cell_length_a 4.3826
_cell_length_b 4.3826
_cell_length_c 4.3826
_cell_angle_alpha 60.00
_cell_angle_beta 60.00
_cell_angle_gamma 60.00
loop_
_symmetry_equiv_pos_as_xyz
'x,y,z'
loop_
_atom_site_label
_atom_site_type_symbol
_atom_site_fract_x
_atom_site_fract_y
_atom_site_fract_z
Al1 Al 0.2500 0.2500 0.2500
Er1 Er 0.7500 0.7500 0.7500
Ni1 Ni 0.0000 0.0000 0.0000

No. 11
# YHo2In3CuGe2, optimized geometry, DFT PBE
# E: -4.634 eV per atom
# spin magnetization: 0.010 μB/f.u.
data_YHo2In3CuGe2
_chemical_formula_sum 'Y1 Ho2 In3 Cu1 Ge2'
_symmetry_space_group_name_H-M 'P 1'
_symmetry_Int_Tables_number 1
_cell_length_a 4.2240
_cell_length_b 7.3915
_cell_length_c 7.3915
_cell_angle_alpha 120.04
_cell_angle_beta 90.00
_cell_angle_gamma 90.00
loop_
_symmetry_equiv_pos_as_xyz
'x,y,z'
loop_
_atom_site_label
_atom_site_type_symbol
_atom_site_fract_x
_atom_site_fract_y
_atom_site_fract_z
Ge1 Ge 0.5000 0.6668 0.3322
Ge2 Ge 0.5000 0.3322 0.6668
In1 In 0.5000 0.0002 0.7572
In2 In 0.5000 0.7572 0.0002
In3 In 0.5000 0.2428 0.2428
Ho1 Ho 0.0000 0.4037 0.9997
Ho2 Ho 0.0000 0.9997 0.4037
Y1 Y 0.0000 0.5959 0.5959
Cu1 Cu 0.0000 0.0015 0.0015

No. 12
# LaSm3Se7, optimized geometry, DFT PBE
# E: -5.545 eV per atom
# spin magnetization: 0.001 μB/f.u.
data_LaSm3Se7
_chemical_formula_sum 'La1 Sm3 Se7'
_symmetry_space_group_name_H-M 'P 1'
_symmetry_Int_Tables_number 1
_cell_length_a 10.6269
_cell_length_b 7.2654
_cell_length_c 7.2654
_cell_angle_alpha 34.77
_cell_angle_beta 90.00
_cell_angle_gamma 90.00
loop_
_symmetry_equiv_pos_as_xyz
'x,y,z'
loop_
_atom_site_label
_atom_site_type_symbol
_atom_site_fract_x
_atom_site_fract_y
_atom_site_fract_z
Se1 Se 0.6159 0.3473 0.3473
Se2 Se 0.0000 0.6190 0.6190
Se3 Se 0.3841 0.3473 0.3473
Se4 Se 0.5000 0.6319 0.6319
Se5 Se 0.0000 0.3255 0.3255
Se6 Se 0.2506 0.0676 0.0676
Se7 Se 0.7494 0.0676 0.0676
Sm1 Sm 0.7578 0.7043 0.7043
Sm2 Sm 0.5000 0.9899 0.9899
Sm3 Sm 0.2422 0.7043 0.7043
La1 La 0.0000 0.9779 0.9779